Computed, not measured: a relaxed Na2CoNO crystal at the GGA+U level of DFT.

Cell lengths 5.321, 5.321, 3.485 Å; angles 90.00, 90.00, 90.00 degrees
Fractional coordinates of all 5 atoms:
Co: 0.000 0.000 0.000
Na: 0.000 0.500 0.000
Na: 0.500 0.000 0.000
N: 0.500 0.500 0.500
O: 0.000 0.000 0.500

Computed properties:
DFT total energy ... -18.99 eV per cell
Theoretical density ... 2.3 g cm⁻³
Density of states at the Fermi level ... 2.7 states/eV per cell